A relaxed structure of Nd2Sm2C2ClF4, computed with PBE-GGA.

a = 8.0162 Å, b = 8.0162 Å, c = 7.2985 Å
α = 117.02°, β = 117.02°, γ = 27.93°
Closest atoms and distances in Å follow each position.
Positions (direct):
Nd: 0.0008 0.0008 0.2880  4 C 2.57-2.59, 2 F 2.62-2.74, 2 Cl 2.85
Nd: 0.9992 0.9992 0.7120  4 C 2.57-2.59, 2 F 2.62-2.74, 2 Cl 2.85
Sm: 0.2901 0.2901 0.2884  1 C 2.18, 2 F 2.40
Sm: 0.7099 0.7099 0.7116  1 C 2.18, 2 F 2.40
C: 0.4484 0.4484 0.4493  1 C 1.42
C: 0.5516 0.5516 0.5507  1 C 1.42
Cl: 0.5000 0.5000 0.0000  4 Nd 2.85
F: 0.1896 0.1896 0.9043  3 Sm 2.49-2.50, 2 F 2.60, 1 Nd 2.62
F: 0.1997 0.1997 0.5076  3 Sm 2.40-2.58, 2 F 2.52
F: 0.8003 0.8003 0.4924  3 Sm 2.40-2.58, 2 F 2.52
F: 0.8104 0.8104 0.0957  3 Sm 2.49-2.50, 2 F 2.60, 1 Nd 2.62

Values from the calculation:
crystal system = monoclinic
calculated volume = 194 Å³/cell
SG = No. 12
VASP energy = -6.53 eV per atom